P | Compound: Ti2SbP
Source: Alexandria via LeMat-Bulk
Functional: PBE-GGA
Structure: relaxed

Results
Symmetry   No. 194
DOS(E_F)   2.03 states/eV/f.u.
Theoretical density   5.70 g cm⁻³

The structure in POSCAR format:
```
Ti2SbP
1.0
3.638 0.000 0.000
-1.819 3.150 0.000
0.000 0.000 12.638
Ti Sb P
4 2 2
direct
0.333 0.667 0.100
0.333 0.667 0.400
0.667 0.333 0.600
0.667 0.333 0.900
0.333 0.667 0.750
0.667 0.333 0.250
0.000 0.000 0.000
0.000 0.000 0.500
```



Q | Compound: Ti2SbP
Source: Alexandria via LeMat-Bulk
Functional: PBE-GGA
Structure: relaxed

Results
Symmetry   No. 225
DOS(E_F)   6.63 states/eV/f.u.
Theoretical density   5.95 g cm⁻³

The structure in POSCAR format:
```
Ti2SbP
1.0
0.000 3.260 3.260
3.260 0.000 3.260
3.260 3.260 0.000
Ti Sb P
2 1 1
direct
0.250 0.250 0.250
0.750 0.750 0.750
0.000 0.000 0.000
0.500 0.500 0.500
```



R | Compound: Ti2SbP
Source: Alexandria via LeMat-Bulk
Functional: PBE-GGA
Structure: relaxed

Results
Symmetry   No. 122
DOS(E_F)   5.01 states/eV/f.u.
Theoretical density   4.06 g cm⁻³

The structure in POSCAR format:
```
Ti2SbP
1.0
-2.947 2.947 5.847
2.947 -2.947 5.847
2.947 2.947 -5.847
Ti Sb P
4 2 2
direct
0.077 0.625 0.952
0.375 0.327 0.452
0.673 0.125 0.048
0.875 0.923 0.548
0.250 0.750 0.500
0.500 0.500 0.000
0.000 0.000 0.000
0.750 0.250 0.500
```



Most stable structure: P



P | Compound: Ti2SbP
Source: Alexandria via LeMat-Bulk
Functional: PBE-GGA
Structure: relaxed

Results
Symmetry   No. 166
DOS(E_F)   2.90 states/eV/f.u.
Theoretical density   5.61 g cm⁻³

The structure in POSCAR format:
```
Ti2SbP
1.0
1.820 1.051 6.404
-1.820 1.051 6.404
0.000 -2.102 6.404
Ti Sb P
2 1 1
direct
0.232 0.232 0.232
0.768 0.768 0.768
0.000 0.000 0.000
0.500 0.500 0.500
```



Q | Compound: Ti2SbP
Source: Alexandria via LeMat-Bulk
Functional: PBE-GGA
Structure: relaxed

Results
Symmetry   No. 160
DOS(E_F)   0.76 states/eV/f.u.
Theoretical density   5.68 g cm⁻³

The structure in POSCAR format:
```
Ti2SbP
1.0
1.806 1.043 6.427
-1.806 1.043 6.427
0.000 -2.086 6.427
Ti Sb P
2 1 1
direct
0.000 0.000 0.000
0.200 0.200 0.200
0.768 0.768 0.768
0.599 0.599 0.599
```



Most stable structure: Q



P | Compound: TlSbP2
Source: Alexandria via LeMat-Bulk
Functional: PBE-GGA
Structure: relaxed

Results
Symmetry   No. 6
DOS(E_F)   1.27 states/eV/f.u.
Theoretical density   6.36 g cm⁻³

The structure in POSCAR format:
```
TlSbP2
1.0
3.939 0.000 0.000
0.000 4.467 0.000
-0.910 0.000 5.762
Tl Sb P
1 1 2
direct
0.000 0.000 0.000
0.346 0.500 0.663
0.558 0.000 0.404
0.780 0.500 0.365
```



Q | Compound: TlSbP2
Source: Alexandria via LeMat-Bulk
Functional: PBE-GGA
Structure: relaxed

Results
Symmetry   No. 216
DOS(E_F)   3.23 states/eV/f.u.
Theoretical density   7.45 g cm⁻³

The structure in POSCAR format:
```
TlSbP2
1.0
0.000 3.509 3.509
3.509 0.000 3.509
3.509 3.509 0.000
Tl Sb P
1 1 2
direct
0.000 0.000 0.000
0.750 0.750 0.750
0.250 0.250 0.250
0.500 0.500 0.500
```



R | Compound: TlSbP2
Source: Alexandria via LeMat-Bulk
Functional: PBE-GGA
Structure: relaxed

Results
Symmetry   No. 44
DOS(E_F)   2.68 states/eV/f.u.
Theoretical density   6.73 g cm⁻³

The structure in POSCAR format:
```
TlSbP2
1.0
-1.627 2.924 5.030
1.627 -2.924 5.030
1.627 2.924 -5.030
Tl Sb P
1 1 2
direct
0.000 0.000 0.000
0.689 0.189 0.500
0.300 0.800 0.500
0.447 0.447 0.000
```



S | Compound: TlSbP2
Source: Alexandria via LeMat-Bulk
Functional: PBE-GGA
Structure: relaxed

Results
Symmetry   No. 122
DOS(E_F)   2.20 states/eV/f.u.
Theoretical density   5.36 g cm⁻³

The structure in POSCAR format:
```
TlSbP2
1.0
-2.968 2.968 6.826
2.968 -2.968 6.826
2.968 2.968 -6.826
Tl Sb P
2 2 4
direct
0.000 0.000 0.000
0.750 0.250 0.500
0.250 0.750 0.500
0.500 0.500 0.000
0.136 0.625 0.011
0.375 0.386 0.511
0.614 0.125 0.989
0.875 0.864 0.489
```



Most stable structure: R



P | Compound: TlSbP2
Source: Alexandria via LeMat-Bulk
Functional: PBE-GGA
Structure: relaxed

Results
Symmetry   No. 123
DOS(E_F)   1.90 states/eV/f.u.
Theoretical density   7.53 g cm⁻³

The structure in POSCAR format:
```
TlSbP2
1.0
4.888 0.000 0.000
0.000 4.888 0.000
0.000 0.000 3.580
Tl Sb P
1 1 2
direct
0.000 0.000 0.000
0.500 0.500 0.000
0.000 0.500 0.500
0.500 0.000 0.500
```



Q | Compound: TlSbP2
Source: Alexandria via LeMat-Bulk
Functional: PBE-GGA
Structure: relaxed

Results
Symmetry   No. 10
DOS(E_F)   1.95 states/eV/f.u.
Theoretical density   6.81 g cm⁻³

The structure in POSCAR format:
```
TlSbP2
1.0
2.865 0.000 0.000
0.000 4.011 0.000
-0.869 0.000 8.234
Tl Sb P
1 1 2
direct
0.000 0.000 0.000
0.000 0.000 0.500
0.074 0.500 0.727
0.926 0.500 0.273
```



Most stable structure: Q



P | Compound: Tl2SbP2
Source: Alexandria via LeMat-Bulk
Functional: PBE-GGA
Structure: relaxed

Results
Symmetry   No. 139
DOS(E_F)   2.46 states/eV/f.u.
Theoretical density   7.74 g cm⁻³

The structure in POSCAR format:
```
Tl2SbP2
1.0
-1.661 1.661 11.518
1.661 -1.661 11.518
1.661 1.661 -11.518
Tl Sb P
2 1 2
direct
0.119 0.119 0.000
0.881 0.881 0.000
0.500 0.500 0.000
0.250 0.750 0.500
0.750 0.250 0.500
```



Q | Compound: Tl2SbP2
Source: Alexandria via LeMat-Bulk
Functional: PBE-GGA
Structure: relaxed

Results
Symmetry   No. 127
DOS(E_F)   3.50 states/eV/f.u.
Theoretical density   8.20 g cm⁻³

The structure in POSCAR format:
```
Tl2SbP2
1.0
8.631 0.000 0.000
0.000 8.631 0.000
0.000 0.000 3.222
Tl Sb P
4 2 4
direct
0.142 0.358 0.000
0.358 0.858 0.000
0.642 0.142 0.000
0.858 0.642 0.000
0.000 0.000 0.000
0.500 0.500 0.000
0.157 0.657 0.500
0.343 0.157 0.500
0.657 0.843 0.500
0.843 0.343 0.500
```



Most stable structure: P



P | Compound: Tl3SbP
Source: Alexandria via LeMat-Bulk
Functional: PBE-GGA
Structure: relaxed

Results
Symmetry   No. 12
DOS(E_F)   1.01 states/eV/f.u.
Theoretical density   8.48 g cm⁻³

The structure in POSCAR format:
```
Tl3SbP
1.0
9.097 -1.711 0.000
9.097 1.711 0.000
-0.058 0.000 9.632
Tl Sb P
6 2 2
direct
0.049 0.049 0.179
0.262 0.262 0.824
0.416 0.416 0.425
0.584 0.584 0.575
0.738 0.738 0.176
0.951 0.951 0.821
0.390 0.390 0.097
0.610 0.610 0.903
0.217 0.217 0.459
0.783 0.783 0.541
```



Q | Compound: Tl3SbP
Source: Alexandria via LeMat-Bulk
Functional: PBE-GGA
Structure: relaxed

Results
Symmetry   No. 221
DOS(E_F)   2.10 states/eV/f.u.
Theoretical density   8.32 g cm⁻³

The structure in POSCAR format:
```
Tl3SbP
1.0
5.346 0.000 0.000
0.000 5.346 0.000
0.000 0.000 5.346
Tl Sb P
3 1 1
direct
0.000 0.000 0.500
0.000 0.500 0.000
0.500 0.000 0.000
0.500 0.500 0.500
0.000 0.000 0.000
```



Most stable structure: P



P | Compound: USbP
Source: Alexandria via LeMat-Bulk
Functional: PBE-GGA
Structure: relaxed

Results
Symmetry   No. 187
DOS(E_F)   4.50 states/eV/f.u.
Theoretical density   9.18 g cm⁻³

The structure in POSCAR format:
```
USbP
1.0
4.484 0.000 0.000
-2.242 3.883 0.000
0.000 0.000 4.060
U Sb P
1 1 1
direct
0.000 0.000 0.000
0.667 0.333 0.500
0.333 0.667 0.000
```



Q | Compound: USbP
Source: Alexandria via LeMat-Bulk
Functional: PBE-GGA
Structure: relaxed

Results
Symmetry   No. 107
DOS(E_F)   6.34 states/eV/f.u.
Theoretical density   9.68 g cm⁻³

The structure in POSCAR format:
```
USbP
1.0
-1.732 1.732 5.584
1.732 -1.732 5.584
1.732 1.732 -5.584
U Sb P
1 1 1
direct
0.000 0.000 0.000
0.293 0.293 0.000
0.608 0.608 0.000
```



R | Compound: USbP
Source: Alexandria via LeMat-Bulk
Functional: PBE-GGA
Structure: relaxed

Results
Symmetry   No. 38
DOS(E_F)   3.93 states/eV/f.u.
Theoretical density   9.18 g cm⁻³

The structure in POSCAR format:
```
USbP
1.0
13.509 0.000 0.000
0.000 1.496 3.499
0.000 -1.496 3.499
U Sb P
2 2 2
direct
0.000 0.000 0.000
0.500 0.081 0.081
0.181 0.685 0.685
0.819 0.685 0.685
0.365 0.386 0.386
0.635 0.386 0.386
```



S | Compound: USbP
Source: Alexandria via LeMat-Bulk
Functional: PBE-GGA
Structure: relaxed

Results
Symmetry   No. 166
DOS(E_F)   5.28 states/eV/f.u.
Theoretical density   9.38 g cm⁻³

The structure in POSCAR format:
```
USbP
1.0
2.117 1.222 8.913
-2.117 1.222 8.913
0.000 -2.445 8.913
U Sb P
2 2 2
direct
0.058 0.058 0.058
0.942 0.942 0.942
0.201 0.201 0.201
0.799 0.799 0.799
0.335 0.335 0.335
0.665 0.665 0.665
```



Most stable structure: Q



P | Compound: VSb3P
Source: Alexandria via LeMat-Bulk
Functional: PBE-GGA
Structure: relaxed

Results
Symmetry   No. 221
DOS(E_F)   5.14 states/eV/f.u.
Theoretical density   5.48 g cm⁻³

The structure in POSCAR format:
```
VSb3P
1.0
5.135 0.000 0.000
0.000 5.135 0.000
0.000 0.000 5.135
V Sb P
1 3 1
direct
0.000 0.000 0.000
0.000 0.500 0.500
0.500 0.000 0.500
0.500 0.500 0.000
0.500 0.500 0.500
```



Q | Compound: VSb3P
Source: Alexandria via LeMat-Bulk
Functional: PBE-GGA
Structure: relaxed

Results
Symmetry   No. 221
DOS(E_F)   3.33 states/eV/f.u.
Theoretical density   5.71 g cm⁻³

The structure in POSCAR format:
```
VSb3P
1.0
5.068 0.000 0.000
0.000 5.068 0.000
0.000 0.000 5.068
V Sb P
1 3 1
direct
0.000 0.000 0.000
0.000 0.000 0.500
0.000 0.500 0.000
0.500 0.000 0.000
0.500 0.500 0.500
```



Most stable structure: Q